1.
{
  "formula": "Ac5DyZn6",
  "functional": "PBE-GGA",
  "state": "optimized geometry",
  "cell": [[4.711, -8.181, 0.000], [4.711, 8.181, 0.000], [-3.135, 0.000, 4.446]],
  "species": ["Ac", "Ac", "Ac", "Ac", "Ac", "Dy", "Zn", "Zn", "Zn", "Zn", "Zn", "Zn"],
  "frac_coords": [[0.000, 0.000, 0.000], [0.166, 0.834, 0.500], [0.330, 0.670, 0.000], [0.670, 0.330, 0.000], [0.834, 0.166, 0.500], [0.500, 0.500, 0.500], [0.105, 0.422, 0.263], [0.275, 0.275, 0.776], [0.422, 0.105, 0.263], [0.578, 0.895, 0.737], [0.725, 0.725, 0.224], [0.895, 0.578, 0.737]],
  "final_energy_ev_per_atom": -2.978,
  "magnetic_moment_mub_per_fu": 0.00
}

=====

2.
{
  "formula": "AcDyZn2",
  "functional": "PBE-GGA",
  "state": "optimized geometry",
  "cell": [[3.812, 0.000, 0.000], [-1.906, 3.301, 0.000], [0.000, 0.000, 27.314]],
  "species": ["Ac", "Ac", "Ac", "Dy", "Dy", "Dy", "Zn", "Zn", "Zn", "Zn", "Zn", "Zn"],
  "frac_coords": [[0.000, 0.000, 0.000], [0.333, 0.667, 0.667], [0.667, 0.333, 0.333], [0.000, 0.000, 0.500], [0.333, 0.667, 0.167], [0.667, 0.333, 0.833], [0.000, 0.000, 0.242], [0.000, 0.000, 0.758], [0.333, 0.667, 0.424], [0.333, 0.667, 0.909], [0.667, 0.333, 0.091], [0.667, 0.333, 0.576]],
  "final_energy_ev_per_atom": -2.873,
  "magnetic_moment_mub_per_fu": 0.00
}